Density functional theory data (PBE) for an optimized crystal structure of LiPW.

abc: 4.041 4.041 4.041
angles: 60.00 60.00 60.00
Last column: magnetic moment on the atom in μB.
Fractional positions:
1 Li 0.000 0.000 0.000  0.01
2 P 0.500 0.500 0.500  -0.02
3 W 0.750 0.750 0.750  0.66

Output
For the calculated formation energy, the calculation gives 547 meV per atom. The energy above the most stable polymorph in this dataset is 21.086 kcal/mol of atoms. As for the spin magnetization: 0.9 Bohr magnetons per cell.